Record 1
Entry from Alexandria via LeMat-Bulk: a geometry-optimized RbAs structure (PBE).

Calculated volume   35.41 A^3/atom
Electronic total energy   -3.103 eV/atom

```
data_RbAs
_chemical_formula_sum 'Rb4 As4'
_cell_length_a 7.268
_cell_length_b 9.226
_cell_length_c 4.224
_cell_angle_alpha 90.00
_cell_angle_beta 90.00
_cell_angle_gamma 90.00
_symmetry_space_group_name_H-M 'C m m m'
_symmetry_Int_Tables_number 65
_symmetry_space_group_name_Hall '-C 2 2'
loop_
_atom_site_label
_atom_site_type_symbol
_atom_site_fract_x
_atom_site_fract_y
_atom_site_fract_z
Rb1 Rb 0.000 0.208 0.000
As1 As 0.159 0.500 0.500
```

=====

Record 2
Entry from Alexandria via LeMat-Bulk: a geometry-optimized ZrZnCu3 structure (PBE).

Calculated volume   14.68 A^3/atom
Electronic total energy   -4.565 eV/atom

```
data_ZrZnCu3
_chemical_formula_sum 'Zr2 Zn2 Cu6'
_cell_length_a 5.493
_cell_length_b 4.182
_cell_length_c 6.770
_cell_angle_alpha 90.00
_cell_angle_beta 109.26
_cell_angle_gamma 90.00
_symmetry_space_group_name_H-M 'P 1 21/m 1'
_symmetry_Int_Tables_number 11
loop_
_symmetry_equiv_pos_as_xyz
'x,y,z'
'-x,-y,-z'
'-x,y+1/2,-z'
'x,-y+1/2,z'
loop_
_atom_site_label
_atom_site_type_symbol
_atom_site_fract_x
_atom_site_fract_y
_atom_site_fract_z
Zr1 Zr 0.185 0.250 0.194
Zn1 Zn 0.189 0.750 0.567
Cu1 Cu 0.157 0.250 0.785
Cu2 Cu 0.362 0.750 0.979
Cu3 Cu 0.489 0.250 0.617
```